An optimized crystal structure of LiMgZr2. Source: Alexandria via LeMat-Bulk, functional PBE-GGA.

Computed properties:
Total magnetization   0.00 μB per formula unit
Formation enthalpy at 0 K   0.082 eV per atom
DOS at the Fermi energy   1.03 states/eV per atom

Lattice parameters (Å, degrees): 3.1694 3.1694 31.4747 90.00 90.00 120.00
Space group R3m (No. 160, hexagonal axes)
One atom of each set of equivalent atoms:
Li1 0.0000 0.0000 0.0000
Mg1 0.0000 0.0000 0.7485
Zr1 0.0000 0.0000 0.1679
Zr2 0.0000 0.0000 0.5809


An optimized crystal structure of Er2ZnGe4Pt3. Source: Alexandria via LeMat-Bulk, functional PBE-GGA.

Computed properties:
Total magnetization   0.00 μB per formula unit
Formation enthalpy at 0 K   -0.774 eV per atom
DOS at the Fermi energy   0.35 states/eV per atom

Lattice parameters (Å, degrees): 4.1106 4.1106 10.9687 90.00 90.00 90.00
Space group P-4m2 (No. 115)
One atom of each set of equivalent atoms:
Er1 0.0000 0.5000 0.2388
Zn1 0.5000 0.5000 0.0000
Ge1 0.0000 0.0000 0.5000
Ge2 0.0000 0.5000 0.8595
Ge3 0.5000 0.5000 0.5000
Pt1 0.0000 0.0000 0.0000
Pt2 0.0000 0.5000 0.6372


An optimized crystal structure of TaInSi. Source: Alexandria via LeMat-Bulk, functional PBE-GGA.

Computed properties:
Total magnetization   0.00 μB per formula unit
Uncorrected energy   -20.0 eV/f.u.
DOS at the Fermi energy   0.89 states/eV per atom

Lattice parameters (Å, degrees): 3.6973 3.4028 9.9921 90.00 90.00 90.00
Space group Pmma (No. 51)
One atom of each set of equivalent atoms:
Ta1 0.2500 0.0000 0.1302
In1 0.2500 0.5000 0.3796
Si1 0.2500 0.5000 0.9131


An optimized crystal structure of SbPtW2. Source: Alexandria via LeMat-Bulk, functional PBE-GGA.

Computed properties:
Total magnetization   0.00 μB per formula unit
Uncorrected energy   -34.9 eV/f.u.
DOS at the Fermi energy   0.51 states/eV per atom

Lattice parameters (Å, degrees): 9.4938 3.2319 4.6274 90.00 99.49 90.00
Space group C2/m (No. 12)
One atom of each set of equivalent atoms:
Sb1 0.0000 0.0000 0.0000
Pt1 0.0000 0.5000 0.5000
W1 0.2428 0.0000 0.7248


An optimized crystal structure of Ca3Pb5O12. Source: Alexandria via LeMat-Bulk, functional PBE-GGA.

Computed properties:
Total magnetization   0.00 μB per formula unit
Uncorrected energy   -113.9 eV/f.u.
DOS at the Fermi energy   0.30 states/eV per atom

Lattice parameters (Å, degrees): 13.7125 13.7125 13.7125 90.00 90.00 90.00
Space group Ia-3d (No. 230)
One atom of each set of equivalent atoms:
Ca1 0.0000 0.2500 0.1250
Pb1 0.0000 0.0000 0.0000
Pb2 0.0000 0.2500 0.3750
O1 0.0204 0.0595 0.6509


An optimized crystal structure of Cs2UBe2S6. Source: Alexandria via LeMat-Bulk, functional PBE-GGA.

Computed properties:
Total magnetization   0.08 μB per formula unit
Uncorrected energy   -57.2 eV/f.u.
DOS at the Fermi energy   0.08 states/eV per atom

Lattice parameters (Å, degrees): 7.0568 7.0568 21.5951 90.00 90.00 120.00
Space group R-3m (No. 166, hexagonal axes)
One atom of each set of equivalent atoms:
Cs1 0.0000 0.0000 0.2198
U1 0.0000 0.0000 0.0000
Be1 0.0000 0.0000 0.3991
S1 0.0053 0.5026 0.2631


An optimized crystal structure of KLiAl4. Source: Alexandria via LeMat-Bulk, functional PBE-GGA.

Computed properties:
Total magnetization   0.00 μB per formula unit
Formation enthalpy at 0 K   0.117 eV per atom
DOS at the Fermi energy   0.33 states/eV per atom

Lattice parameters (Å, degrees): 8.0483 8.0483 8.0483 90.00 90.00 90.00
Space group F-43m (No. 216)
One atom of each set of equivalent atoms:
K1 0.0000 0.0000 0.0000
Li1 0.2500 0.2500 0.7500
Al1 0.1253 0.1253 0.3747


An optimized crystal structure of InSb2Pd. Source: Alexandria via LeMat-Bulk, functional PBE-GGA.

Computed properties:
Total magnetization   0.00 μB per formula unit
Uncorrected energy   -15.6 eV/f.u.
DOS at the Fermi energy   0.60 states/eV per atom

Lattice parameters (Å, degrees): 3.1940 3.1940 33.9822 90.00 90.00 120.00
Space group R-3m (No. 166, hexagonal axes)
One atom of each set of equivalent atoms:
In1 0.0000 0.0000 0.0000
Sb1 0.0000 0.0000 0.4232
Pd1 0.0000 0.0000 0.5000


Number 2 is which compound? Er2ZnGe4Pt3